This record from Alexandria via LeMat-Bulk describes a crystal of TaP2IrCl relaxed with PBEsol. The functional is SCAN.

Cell and atoms, written as extended XYZ:
```
5
Lattice="4.525 0.000 0.000 0.000 4.525 0.000 0.000 0.000 4.632" Properties=species:S:1:pos:R:3 pbc="T T T"
Ta 0.000 0.000 0.000
P 0.000 2.263 2.316
P 2.263 0.000 2.316
Ir 2.263 2.263 2.316
Cl 2.263 2.263 0.000
```

Output
- Raw formation energy: 519 kJ/mol of formula units